Material: GaBiMo3
Method: DFT, GGA-PBE
State: optimized geometry

a = 5.023 Å, b = 5.023 Å, c = 5.023 Å
α = 90.00°, β = 90.00°, γ = 90.00°
Sites, in units of the cell vectors:
Mo 0.000 0.000 0.500
Mo 0.500 0.000 0.000
Mo 0.000 0.500 0.000
Ga 0.500 0.500 0.500
Bi 0.000 0.000 0.000

Results
* uncorrected energy: -5.466 eV per atom
* E_form: 2414 meV per atom
* excess energy over the best structure of this formula in the dataset: 1021 meV/atom
* total magnetization: 0.00 μB/cell